No. 1
Here is a relaxed structure of Te2AsAu from the Alexandria database. Energies are from GGA-PBEsol.

The structure in POSCAR format:
```
Te2AsAu
1.0
4.074 0.000 0.000
0.000 4.074 0.000
0.000 0.000 5.746
Te As Au
2 1 1
direct
0.000 0.000 0.000 Te
0.500 0.500 0.500 Te
0.000 0.000 0.500 As
0.500 0.500 0.000 Au
```

Results
Total energy: -4.033 eV per atom
SG: No. 123

***

No. 2
Here is a relaxed structure of TeAsAu from the Alexandria database. Energies are from GGA-PBEsol.

The structure in POSCAR format:
```
TeAsAu
1.0
0.000 3.300 3.300
3.300 0.000 3.300
3.300 3.300 0.000
Te As Au
1 1 1
direct
0.000 0.000 0.000 Te
0.500 0.500 0.500 As
0.750 0.750 0.750 Au
```

Results
Total energy: -3.893 eV per atom
SG: No. 216

***

No. 3
Here is a relaxed structure of Te2As2Au from the Alexandria database. Energies are from GGA-PBEsol.

The structure in POSCAR format:
```
Te2As2Au
1.0
7.897 0.000 0.000
0.000 7.897 0.000
0.000 0.000 3.802
Te As Au
4 4 2
direct
0.199 0.301 0.000 Te
0.301 0.801 0.000 Te
0.699 0.199 0.000 Te
0.801 0.699 0.000 Te
0.127 0.627 0.500 As
0.373 0.127 0.500 As
0.627 0.873 0.500 As
0.873 0.373 0.500 As
0.000 0.000 0.000 Au
0.500 0.500 0.000 Au
```

Results
Total energy: -3.921 eV per atom
SG: No. 127

***

No. 4
Here is a relaxed structure of Te2AsAu from the Alexandria database. Energies are from GGA-PBEsol.

The structure in POSCAR format:
```
Te2AsAu
1.0
2.052 1.184 6.582
-2.052 1.184 6.582
0.000 -2.369 6.582
Te As Au
2 1 1
direct
0.248 0.248 0.248 Te
0.752 0.752 0.752 Te
0.000 0.000 0.000 As
0.500 0.500 0.500 Au
```

Results
Total energy: -4.043 eV per atom
SG: No. 166

***

No. 5
Here is a relaxed structure of Ti2AsAu from the Alexandria database. Energies are from GGA-PBEsol.

The structure in POSCAR format:
```
Ti2AsAu
1.0
-3.502 3.502 2.802
3.502 -3.502 2.802
3.502 3.502 -2.802
Ti As Au
4 2 2
direct
0.112 0.125 0.487 Ti
0.375 0.888 0.013 Ti
0.638 0.625 0.513 Ti
0.875 0.362 0.987 Ti
0.000 0.000 0.000 As
0.750 0.250 0.500 As
0.250 0.750 0.500 Au
0.500 0.500 0.000 Au
```

Results
Total energy: -6.744 eV per atom
SG: No. 122

***

No. 6
Here is a relaxed structure of TiAs2Au2 from the Alexandria database. Energies are from GGA-PBEsol.

The structure in POSCAR format:
```
TiAs2Au2
1.0
-1.799 1.799 7.310
1.799 -1.799 7.310
1.799 1.799 -7.310
Ti As Au
1 2 2
direct
0.000 0.000 0.000 Ti
0.250 0.750 0.500 As
0.750 0.250 0.500 As
0.406 0.406 0.000 Au
0.594 0.594 0.000 Au
```

Results
Total energy: -5.089 eV per atom
SG: No. 139

***

No. 7
Here is a relaxed structure of TlAs2Au2 from the Alexandria database. Energies are from GGA-PBEsol.

The structure in POSCAR format:
```
TlAs2Au2
1.0
-2.248 2.248 5.336
2.248 -2.248 5.336
2.248 2.248 -5.336
Tl As Au
1 2 2
direct
0.000 0.000 0.000 Tl
0.383 0.383 0.000 As
0.617 0.617 0.000 As
0.250 0.750 0.500 Au
0.750 0.250 0.500 Au
```

Results
Total energy: -4.058 eV per atom
SG: No. 139

***

No. 8
Here is a relaxed structure of Tl2AsAu from the Alexandria database. Energies are from GGA-PBEsol.

The structure in POSCAR format:
```
Tl2AsAu
1.0
2.179 1.258 6.344
-2.179 1.258 6.344
0.000 -2.516 6.344
Tl As Au
2 1 1
direct
0.000 0.000 0.000 Tl
0.212 0.212 0.212 Tl
0.767 0.767 0.767 As
0.450 0.450 0.450 Au
```

Results
Total energy: -3.598 eV per atom
SG: No. 160

***

No. 9
Here is a relaxed structure of TlAs2Au from the Alexandria database. Energies are from GGA-PBEsol.

The structure in POSCAR format:
```
TlAs2Au
1.0
2.886 -5.031 0.000
2.886 5.031 0.000
-0.125 0.000 2.843
Tl As Au
1 2 1
direct
0.000 0.000 0.000 Tl
0.000 0.500 0.500 As
0.500 0.000 0.500 As
0.500 0.500 0.000 Au
```

Results
Total energy: -3.847 eV per atom
SG: No. 12

***

No. 10
Here is a relaxed structure of Tl2AsAu from the Alexandria database. Energies are from GGA-PBEsol.

The structure in POSCAR format:
```
Tl2AsAu
1.0
-2.338 2.338 4.133
2.338 -2.338 4.133
2.338 2.338 -4.133
Tl As Au
2 1 1
direct
0.250 0.750 0.500 Tl
0.750 0.250 0.500 Tl
0.000 0.000 0.000 As
0.500 0.500 0.000 Au
```

Results
Total energy: -3.363 eV per atom
SG: No. 139

***

No. 11
Here is a relaxed structure of TlAsAu from the Alexandria database. Energies are from GGA-PBEsol.

The structure in POSCAR format:
```
TlAsAu
1.0
4.342 0.000 0.000
-2.171 3.760 0.000
0.000 0.000 4.408
Tl As Au
1 1 1
direct
0.000 0.000 0.000 Tl
0.333 0.667 0.500 As
0.667 0.333 0.500 Au
```

Results
Total energy: -3.831 eV per atom
SG: No. 187

***

No. 12
Here is a relaxed structure of TlAs2Au from the Alexandria database. Energies are from GGA-PBEsol.

The structure in POSCAR format:
```
TlAs2Au
1.0
3.551 0.000 0.000
0.000 3.551 0.000
0.000 0.000 6.992
Tl As Au
1 2 1
direct
0.000 0.000 0.000 Tl
0.500 0.500 0.324 As
0.500 0.500 0.676 As
0.000 0.000 0.500 Au
```

Results
Total energy: -4.014 eV per atom
SG: No. 123

***

No. 13
Here is a relaxed structure of TlAsAu from the Alexandria database. Energies are from GGA-PBEsol.

The structure in POSCAR format:
```
TlAsAu
1.0
4.019 0.000 0.000
1.931 3.795 0.000
0.072 0.059 4.640
Tl As Au
1 1 1
direct
0.000 0.000 0.000 Tl
0.341 0.315 0.449 As
0.667 0.671 0.587 Au
```

Results
Total energy: -3.831 eV per atom
SG: No. 1

***

No. 14
Here is a relaxed structure of TlAs2Au from the Alexandria database. Energies are from GGA-PBEsol.

The structure in POSCAR format:
```
TlAs2Au
1.0
4.544 0.000 0.000
0.000 3.988 0.000
-1.438 0.000 5.120
Tl As Au
1 2 1
direct
0.000 0.000 0.000 Tl
0.249 0.500 0.663 As
0.751 0.500 0.337 As
0.500 0.000 0.500 Au
```

Results
Total energy: -4.227 eV per atom
SG: No. 10

***

No. 15
Here is a relaxed structure of AsWAu2 from the Alexandria database. Energies are from GGA-PBEsol.

The structure in POSCAR format:
```
AsWAu2
1.0
3.038 0.000 0.000
0.000 4.416 0.000
0.000 0.000 4.927
As W Au
1 1 2
direct
0.000 0.000 0.000 As
0.500 0.500 0.000 W
0.000 0.500 0.500 Au
0.500 0.000 0.500 Au
```

Results
Total energy: -6.235 eV per atom
SG: No. 47

***

No. 16
Here is a relaxed structure of AsWAu2 from the Alexandria database. Energies are from GGA-PBEsol.

The structure in POSCAR format:
```
AsWAu2
1.0
-1.353 2.421 5.615
1.353 -2.421 5.615
1.353 2.421 -5.615
As W Au
1 1 2
direct
0.000 0.000 0.000 As
0.799 0.299 0.500 W
0.339 0.839 0.500 Au
0.589 0.589 0.000 Au
```

Results
Total energy: -6.269 eV per atom
SG: No. 44

***

No. 17
Here is a relaxed structure of AsWAu2 from the Alexandria database. Energies are from GGA-PBEsol.

The structure in POSCAR format:
```
AsWAu2
1.0
2.798 0.000 0.000
0.000 4.678 0.000
-1.295 0.000 5.069
As W Au
1 1 2
direct
0.000 0.000 0.000 As
0.000 0.000 0.500 W
0.358 0.500 0.245 Au
0.642 0.500 0.755 Au
```

Results
Total energy: -6.248 eV per atom
SG: No. 10

***

No. 18
Here is a relaxed structure of AsWAu2 from the Alexandria database. Energies are from GGA-PBEsol.

The structure in POSCAR format:
```
AsWAu2
1.0
1.639 -2.228 0.000
1.639 2.228 0.000
0.000 0.000 9.473
As W Au
1 1 2
direct
0.000 0.000 0.000 As
0.500 0.500 0.786 W
0.000 0.000 0.545 Au
0.500 0.500 0.297 Au
```

Results
Total energy: -6.386 eV per atom
SG: No. 35

***

No. 19
Here is a relaxed structure of AsWAu from the Alexandria database. Energies are from GGA-PBEsol.

The structure in POSCAR format:
```
AsWAu
1.0
0.000 2.225 7.216
1.638 0.000 7.216
1.638 2.225 0.000
As W Au
1 1 1
direct
0.000 0.000 0.000 As
0.640 0.640 0.360 W
0.298 0.298 0.702 Au
```

Results
Total energy: -7.203 eV per atom
SG: No. 42

***

No. 20
Here is a relaxed structure of AsWAu2 from the Alexandria database. Energies are from GGA-PBEsol.

The structure in POSCAR format:
```
AsWAu2
1.0
2.665 -4.482 0.000
2.665 4.482 0.000
0.000 0.000 2.774
As W Au
1 1 2
direct
0.000 0.000 0.000 As
0.500 0.500 0.000 W
0.000 0.500 0.500 Au
0.500 0.000 0.500 Au
```

Results
Total energy: -6.301 eV per atom
SG: No. 65

***

No. 21
Here is a relaxed structure of Y2AsAu from the Alexandria database. Energies are from GGA-PBEsol.

The structure in POSCAR format:
```
Y2AsAu
1.0
4.101 0.000 0.000
0.000 4.101 0.000
0.000 0.000 5.820
Y As Au
2 1 1
direct
0.000 0.000 0.000 Y
0.500 0.500 0.500 Y
0.000 0.000 0.500 As
0.500 0.500 0.000 Au
```

Results
Total energy: -6.703 eV per atom
SG: No. 123

***

No. 22
Here is a relaxed structure of Y2AsAu from the Alexandria database. Energies are from GGA-PBEsol.

The structure in POSCAR format:
```
Y2AsAu
1.0
-2.046 2.046 5.300
2.046 -2.046 5.300
2.046 2.046 -5.300
Y As Au
2 1 1
direct
0.000 0.000 0.000 Y
0.750 0.250 0.500 Y
0.500 0.500 0.000 As
0.250 0.750 0.500 Au
```

Results
Total energy: -6.583 eV per atom
SG: No. 119

***

No. 23
Here is a relaxed structure of YAsAu2 from the Alexandria database. Energies are from GGA-PBEsol.

The structure in POSCAR format:
```
YAsAu2
1.0
-2.275 2.538 3.424
2.275 -2.538 3.424
2.275 2.538 -3.424
Y As Au
1 1 2
direct
0.000 0.000 0.000 Y
0.716 0.216 0.500 As
0.270 0.770 0.500 Au
0.531 0.531 0.000 Au
```

Results
Total energy: -5.552 eV per atom
SG: No. 44

***

No. 24
Here is a relaxed structure of YAsAu2 from the Alexandria database. Energies are from GGA-PBEsol.

The structure in POSCAR format:
```
YAsAu2
1.0
3.668 0.000 0.000
0.000 4.360 0.000
-1.517 0.000 5.105
Y As Au
1 1 2
direct
0.000 0.000 0.000 Y
0.500 0.000 0.500 As
0.338 0.500 0.732 Au
0.662 0.500 0.268 Au
```

Results
Total energy: -5.524 eV per atom
SG: No. 10

***

No. 25
Here is a relaxed structure of ZnAs2Au from the Alexandria database. Energies are from GGA-PBEsol.

The structure in POSCAR format:
```
ZnAs2Au
1.0
0.000 3.273 3.273
3.273 0.000 3.273
3.273 3.273 0.000
Zn As Au
1 2 1
direct
0.000 0.000 0.000 Zn
0.500 0.500 0.500 As
0.750 0.750 0.750 As
0.250 0.250 0.250 Au
```

Results
Total energy: -3.660 eV per atom
SG: No. 216

***

No. 26
Here is a relaxed structure of ZnAs2Au from the Alexandria database. Energies are from GGA-PBEsol.

The structure in POSCAR format:
```
ZnAs2Au
1.0
2.817 0.000 0.000
0.000 3.809 0.000
0.000 0.000 6.605
Zn As Au
1 2 1
direct
0.000 0.000 0.000 Zn
0.000 0.000 0.546 As
0.500 0.500 0.208 As
0.500 0.500 0.773 Au
```

Results
Total energy: -3.772 eV per atom
SG: No. 25

***

No. 27
Here is a relaxed structure of ZnAs4Au from the Alexandria database. Energies are from GGA-PBEsol.

The structure in POSCAR format:
```
ZnAs4Au
1.0
0.000 3.866 3.866
3.866 0.000 3.866
3.866 3.866 0.000
Zn As Au
1 4 1
direct
0.000 0.000 0.000 Zn
0.125 0.625 0.625 As
0.625 0.125 0.625 As
0.625 0.625 0.125 As
0.625 0.625 0.625 As
0.250 0.250 0.250 Au
```

Results
Total energy: -3.797 eV per atom
SG: No. 216

***

No. 28
Here is a relaxed structure of ZrAsAu2 from the Alexandria database. Energies are from GGA-PBEsol.

The structure in POSCAR format:
```
ZrAsAu2
1.0
3.053 0.000 0.000
0.000 3.717 0.000
0.000 0.000 6.395
Zr As Au
1 1 2
direct
0.000 0.000 0.000 Zr
0.500 0.500 0.228 As
0.000 0.000 0.505 Au
0.500 0.500 0.738 Au
```

Results
Total energy: -5.876 eV per atom
SG: No. 25

***

No. 29
Here is a relaxed structure of Zr2AsAu from the Alexandria database. Energies are from GGA-PBEsol.

The structure in POSCAR format:
```
Zr2AsAu
1.0
-1.987 1.987 4.761
1.987 -1.987 4.761
1.987 1.987 -4.761
Zr As Au
2 1 1
direct
0.000 0.000 0.000 Zr
0.750 0.250 0.500 Zr
0.500 0.500 0.000 As
0.250 0.750 0.500 Au
```

Results
Total energy: -7.413 eV per atom
SG: No. 119

***

No. 30
Here is a relaxed structure of Zr3AsAu from the Alexandria database. Energies are from GGA-PBEsol.

The structure in POSCAR format:
```
Zr3AsAu
1.0
5.076 0.000 0.000
0.000 5.076 0.000
0.000 0.000 5.076
Zr As Au
3 1 1
direct
0.000 0.000 0.500 Zr
0.000 0.500 0.000 Zr
0.500 0.000 0.000 Zr
0.500 0.500 0.500 As
0.000 0.000 0.000 Au
```

Results
Total energy: -6.721 eV per atom
SG: No. 221

***

Result set for spin magnetization: 0.000; 0.000; 0.000; 0.000; 0.000; 0.214; 0.000; 0.000; 0.000; 0.000; 0.000; 0.000; 0.000; 0.000; 0.000; 0.000; 0.000; 0.000; 0.000; 0.000; 0.000; 0.000; 0.000; 0.000; 0.000; 0.000; 0.000; 0.000; 0.000; 0.000 μB per atom, one per record in the order listed.